# AlW2O4 (PBE+U, relaxed)
data_AlW2O4
_chemical_formula_sum 'Al2 W4 O8'
_symmetry_space_group_name_H-M 'P 1'
_symmetry_Int_Tables_number 1
_cell_length_a 6.503
_cell_length_b 6.503
_cell_length_c 6.503
_cell_angle_alpha 53.50
_cell_angle_beta 53.50
_cell_angle_gamma 53.50
loop_
_symmetry_equiv_pos_as_xyz
'x,y,z'
loop_
_atom_site_label
_atom_site_type_symbol
_atom_site_fract_x
_atom_site_fract_y
_atom_site_fract_z
Al1 Al 0.129 0.129 0.129
Al2 Al 0.871 0.871 0.871
W1 W 0.000 0.500 0.500
W2 W 0.500 0.000 0.500
W3 W 0.500 0.500 0.000
W4 W 0.500 0.500 0.500
O1 O 0.236 0.236 0.236
O2 O 0.240 0.750 0.750
O3 O 0.250 0.250 0.760
O4 O 0.250 0.760 0.250
O5 O 0.750 0.240 0.750
O6 O 0.750 0.750 0.240
O7 O 0.760 0.250 0.250
O8 O 0.764 0.764 0.764
# - polymorph energy (0 for the lowest one) (meV per atom) = 0.0
# - uncorrected energy (eV for the cell shown) = -99.06